Entry from OQMD via LeMat-Bulk: HOs after structural relaxation (PBE).

Properties
The crystal system is cubic. The total energy comes out at -6.83 eV per atom.

The structure in CIF format:
```
data_HOs
_chemical_formula_sum 'H4 Os4'
_cell_length_a 4.0380
_cell_length_b 4.0380
_cell_length_c 4.0380
_cell_angle_alpha 90.00
_cell_angle_beta 90.00
_cell_angle_gamma 90.00
_symmetry_space_group_name_H-M 'F m -3 m'
_symmetry_Int_Tables_number 225
_symmetry_space_group_name_Hall '-F 4 2 3'
loop_
_atom_site_label
_atom_site_type_symbol
_atom_site_fract_x
_atom_site_fract_y
_atom_site_fract_z
H1 H 0.0000 0.0000 0.0000
Os1 Os 0.0000 0.0000 0.5000
```